Run i
A plane-wave DFT calculation with GGA-PBEsol was carried out for a geometry-optimized MnB4O7 structure.

Output
space group	Cmcm, No. 63
magnetic moment	10.000	μB/cell

a b c (Å): 6.3682 6.3682 5.1871
angles (deg): 90.00 90.00 62.75
Fractional positions:
Mn  0.2238  0.7762  0.7500
Mn  0.7762  0.2238  0.2500
B  0.0812  0.6804  0.2500
B  0.2937  0.2937  0.0000
B  0.2937  0.2937  0.5000
B  0.3196  0.9188  0.2500
B  0.6804  0.0812  0.7500
B  0.7063  0.7063  0.0000
B  0.7063  0.7063  0.5000
B  0.9188  0.3196  0.7500
O  0.0936  0.9064  0.2500
O  0.1889  0.5470  0.0225
O  0.1889  0.5470  0.4775
O  0.1908  0.2418  0.7500
O  0.2418  0.1908  0.2500
O  0.4530  0.8111  0.0225
O  0.4530  0.8111  0.4775
O  0.5470  0.1889  0.5225
O  0.5470  0.1889  0.9775
O  0.7582  0.8092  0.7500
O  0.8092  0.7582  0.2500
O  0.8111  0.4530  0.5225
O  0.8111  0.4530  0.9775
O  0.9064  0.0936  0.7500

---

Run ii
A plane-wave DFT calculation with GGA-PBEsol was carried out for a geometry-optimized MnB4O7 structure.

Output
space group	Pbca, No. 61
magnetic moment	40.000	μB/cell

a b c (Å): 8.1026 8.6454 14.0362
angles (deg): 90.00 90.00 90.00
Fractional positions:
Mn  0.1173  0.1080  0.1133
Mn  0.1173  0.3920  0.6133
Mn  0.3827  0.6080  0.1133
Mn  0.3827  0.8920  0.6133
Mn  0.6173  0.1080  0.3867
Mn  0.6173  0.3920  0.8867
Mn  0.8827  0.6080  0.3867
Mn  0.8827  0.8920  0.8867
B  0.0101  0.5684  0.1633
B  0.0101  0.9316  0.6633
B  0.0337  0.1681  0.7654
B  0.0337  0.3319  0.2654
B  0.0634  0.7073  0.5667
B  0.0634  0.7927  0.0667
B  0.1859  0.1343  0.4635
B  0.1859  0.3657  0.9635
B  0.3141  0.6343  0.4635
B  0.3141  0.8657  0.9635
B  0.4366  0.2073  0.5667
B  0.4366  0.2927  0.0667
B  0.4663  0.6681  0.7654
B  0.4663  0.8319  0.2654
B  0.4899  0.0684  0.1633
B  0.4899  0.4316  0.6633
B  0.5101  0.5684  0.3367
B  0.5101  0.9316  0.8367
B  0.5337  0.1681  0.7346
B  0.5337  0.3319  0.2346
B  0.5634  0.7073  0.9333
B  0.5634  0.7927  0.4333
B  0.6859  0.1343  0.0365
B  0.6859  0.3657  0.5365
B  0.8141  0.6343  0.0365
B  0.8141  0.8657  0.5365
B  0.9366  0.2073  0.9333
B  0.9366  0.2927  0.4333
B  0.9663  0.6681  0.7346
B  0.9663  0.8319  0.2346
B  0.9899  0.0684  0.3367
B  0.9899  0.4316  0.8367
O  0.0122  0.6064  0.6479
O  0.0122  0.8936  0.1479
O  0.0335  0.1730  0.2518
O  0.0335  0.3270  0.7518
O  0.0804  0.0769  0.6919
O  0.0804  0.4231  0.1919
O  0.0847  0.2443  0.9926
O  0.0847  0.2557  0.4926
O  0.1337  0.6519  0.1050
O  0.1337  0.8481  0.6050
O  0.1420  0.0435  0.3896
O  0.1420  0.4565  0.8896
O  0.1667  0.6078  0.5094
O  0.1667  0.8922  0.0094
O  0.3333  0.1078  0.5094
O  0.3333  0.3922  0.0094
O  0.3580  0.5435  0.3896
O  0.3580  0.9565  0.8896
O  0.3663  0.1519  0.1050
O  0.3663  0.3481  0.6050
O  0.4153  0.7443  0.9926
O  0.4153  0.7557  0.4926
O  0.4196  0.5769  0.6919
O  0.4196  0.9231  0.1919
O  0.4665  0.6730  0.2518
O  0.4665  0.8270  0.7518
O  0.4878  0.1064  0.6479
O  0.4878  0.3936  0.1479
O  0.5122  0.6064  0.8521
O  0.5122  0.8936  0.3521
O  0.5335  0.1730  0.2482
O  0.5335  0.3270  0.7482
O  0.5804  0.0769  0.8081
O  0.5804  0.4231  0.3081
O  0.5847  0.2443  0.5074
O  0.5847  0.2557  0.0074
O  0.6337  0.6519  0.3950
O  0.6337  0.8481  0.8950
O  0.6420  0.0435  0.1104
O  0.6420  0.4565  0.6104
O  0.6667  0.6078  0.9906
O  0.6667  0.8922  0.4906
O  0.8333  0.1078  0.9906
O  0.8333  0.3922  0.4906
O  0.8580  0.5435  0.1104
O  0.8580  0.9565  0.6104
O  0.8663  0.1519  0.3950
O  0.8663  0.3481  0.8950
O  0.9153  0.7443  0.5074
O  0.9153  0.7557  0.0074
O  0.9196  0.5769  0.8081
O  0.9196  0.9231  0.3081
O  0.9665  0.6730  0.2482
O  0.9665  0.8270  0.7482
O  0.9878  0.1064  0.8521
O  0.9878  0.3936  0.3521

---

Which one sits at the top of the stability order? run ii does.

---

Run i
A plane-wave DFT calculation with GGA-PBEsol was carried out for a geometry-optimized BSeSN2 structure.

Output
space group	P4/mmm, No. 123
magnetic moment	0.000	μB/cell

a b c (Å): 3.2516 3.2516 6.7331
angles (deg): 90.00 90.00 90.00
Fractional positions:
B  0.0000  0.0000  0.0000
Se  0.5000  0.5000  0.0000
S  0.5000  0.5000  0.5000
N  0.0000  0.5000  0.5000
N  0.5000  0.0000  0.5000

---

Run ii
A plane-wave DFT calculation with GGA-PBEsol was carried out for a geometry-optimized BSeSN2 structure.

Output
space group	P4/mmm, No. 123
magnetic moment	0.000	μB/cell

a b c (Å): 3.4997 3.4997 6.1285
angles (deg): 90.00 90.00 90.00
Fractional positions:
B  0.0000  0.0000  0.0000
Se  0.5000  0.5000  0.5000
S  0.5000  0.5000  0.0000
N  0.0000  0.5000  0.5000
N  0.5000  0.0000  0.5000

---

Which one sits at the top of the stability order? run i does.

---

Run i
A plane-wave DFT calculation with GGA-PBEsol was carried out for a geometry-optimized TaBSeN2 structure.

Output
space group	P4/mmm, No. 123
magnetic moment	0.006	μB/cell

a b c (Å): 3.8946 3.8946 5.3667
angles (deg): 90.00 90.00 90.00
Fractional positions:
Ta  0.0000  0.0000  0.0000
B  0.5000  0.5000  0.5000
Se  0.0000  0.0000  0.5000
N  0.0000  0.5000  0.0000
N  0.5000  0.0000  0.0000

---

Run ii
A plane-wave DFT calculation with GGA-PBEsol was carried out for a geometry-optimized TaBSeN2 structure.

Output
space group	P4/mmm, No. 123
magnetic moment	0.000	μB/cell

a b c (Å): 3.5706 3.5706 4.2002
angles (deg): 90.00 90.00 90.00
Fractional positions:
Ta  0.0000  0.0000  0.0000
B  0.5000  0.5000  0.5000
Se  0.5000  0.5000  0.0000
N  0.0000  0.5000  0.5000
N  0.5000  0.0000  0.5000

---

Which one sits at the top of the stability order? run i does.

---

Run i
A plane-wave DFT calculation with GGA-PBEsol was carried out for a geometry-optimized NaBPt3 structure.

Output
space group	P6/mmm, No. 191
magnetic moment	0.000	μB/cell

a b c (Å): 5.5278 5.5278 5.5070
angles (deg): 90.00 90.00 120.00
Fractional positions:
Na  0.0000  0.0000  0.0000
Na  0.0000  0.0000  0.5000
B  0.3333  0.6667  0.0000
B  0.6667  0.3333  0.0000
Pt  0.0000  0.5000  0.2587
Pt  0.0000  0.5000  0.7413
Pt  0.5000  0.0000  0.2587
Pt  0.5000  0.0000  0.7413
Pt  0.5000  0.5000  0.2587
Pt  0.5000  0.5000  0.7413

---

Run ii
A plane-wave DFT calculation with GGA-PBEsol was carried out for a geometry-optimized NaBPt3 structure.

Output
space group	Pm-3m, No. 221
magnetic moment	0.000	μB/cell

a b c (Å): 4.4942 4.4942 4.4942
angles (deg): 90.00 90.00 90.00
Fractional positions:
Na  0.0000  0.0000  0.0000
B  0.5000  0.5000  0.5000
Pt  0.0000  0.0000  0.5000
Pt  0.0000  0.5000  0.0000
Pt  0.5000  0.0000  0.0000

---

Which one sits at the top of the stability order? run i does.

---

Run i
A plane-wave DFT calculation with GGA-PBEsol was carried out for a geometry-optimized NbB2Pt structure.

Output
space group	Fm-3m, No. 225
magnetic moment	0.010	μB/cell

a b c (Å): 3.9873 3.9873 3.9873
angles (deg): 60.00 60.00 60.00
Fractional positions:
Nb  0.0000  0.0000  0.0000
B  0.2500  0.2500  0.2500
B  0.7500  0.7500  0.7500
Pt  0.5000  0.5000  0.5000

---

Run ii
A plane-wave DFT calculation with GGA-PBEsol was carried out for a geometry-optimized NbB2Pt structure.

Output
space group	I4_1/amd, No. 141
magnetic moment	0.000	μB/cell

a b c (Å): 7.7229 7.7229 7.7229
angles (deg): 151.39 151.39 40.91
Fractional positions:
Nb  0.3750  0.6250  0.7500
Nb  0.6250  0.3750  0.2500
B  0.0000  0.0000  0.0000
B  0.0000  0.0000  0.5000
B  0.0000  0.5000  0.0000
B  0.5000  0.0000  0.5000
Pt  0.1250  0.8750  0.2500
Pt  0.8750  0.1250  0.7500

---

Which one sits at the top of the stability order? run i does.

---

Run i
A plane-wave DFT calculation with GGA-PBEsol was carried out for a geometry-optimized BSO2 structure.

Output
space group	I-42d, No. 122
magnetic moment	0.001	μB/cell

a b c (Å): 4.7673 4.7673 4.7673
angles (deg): 123.24 123.24 84.47
Fractional positions:
B  0.0000  0.0000  0.0000
B  0.7500  0.2500  0.5000
S  0.2500  0.7500  0.5000
S  0.5000  0.5000  0.0000
O  0.3750  0.0508  0.1758
O  0.8008  0.6250  0.6758
O  0.8750  0.1992  0.8242
O  0.9492  0.1250  0.3242

---

Run ii
A plane-wave DFT calculation with GGA-PBEsol was carried out for a geometry-optimized BSO2 structure.

Output
space group	Fm-3m, No. 225
magnetic moment	0.000	μB/cell

a b c (Å): 3.6691 3.6691 3.6691
angles (deg): 60.00 60.00 60.00
Fractional positions:
B  0.0000  0.0000  0.0000
S  0.5000  0.5000  0.5000
O  0.2500  0.2500  0.2500
O  0.7500  0.7500  0.7500

---

Which one sits at the top of the stability order? run i does.

---

Run i
A plane-wave DFT calculation with GGA-PBEsol was carried out for a geometry-optimized Sc2BO structure.

Output
space group	R-3m, No. 166
magnetic moment	0.329	μB/cell

a b c (Å): 7.3377 7.3377 7.3377
angles (deg): 24.78 24.78 24.78
Fractional positions:
Sc  0.1095  0.1095  0.1095
Sc  0.8905  0.8905  0.8905
B  0.0000  0.0000  0.0000
O  0.5000  0.5000  0.5000

---

Run ii
A plane-wave DFT calculation with GGA-PBEsol was carried out for a geometry-optimized Sc2BO structure.

Output
space group	I-42d, No. 122
magnetic moment	0.004	μB/cell

a b c (Å): 6.1339 6.1339 6.1339
angles (deg): 131.39 131.39 71.19
Fractional positions:
Sc  0.0891  0.6250  0.9641
Sc  0.3750  0.3391  0.4641
Sc  0.6609  0.1250  0.0359
Sc  0.8750  0.9109  0.5359
B  0.2500  0.7500  0.5000
B  0.5000  0.5000  0.0000
O  0.0000  0.0000  0.0000
O  0.7500  0.2500  0.5000

---

Which one sits at the top of the stability order? run ii does.

---

Run i
A plane-wave DFT calculation with GGA-PBEsol was carried out for a geometry-optimized SrB2O4 structure.

Output
space group	Pbcn, No. 60
magnetic moment	0.000	μB/cell

a b c (Å): 11.9916 4.3470 6.5559
angles (deg): 90.00 90.00 90.00
Fractional positions:
Sr  0.0000  0.2376  0.2500
Sr  0.0000  0.7624  0.7500
Sr  0.5000  0.2624  0.7500
Sr  0.5000  0.7376  0.2500
B  0.1939  0.3309  0.6267
B  0.1939  0.6691  0.1267
B  0.3061  0.1691  0.1267
B  0.3061  0.8309  0.6267
B  0.6939  0.1691  0.3733
B  0.6939  0.8309  0.8733
B  0.8061  0.3309  0.8733
B  0.8061  0.6691  0.3733
O  0.0897  0.2358  0.5944
O  0.0897  0.7642  0.0944
O  0.2106  0.3493  0.1480
O  0.2106  0.6507  0.6480
O  0.2894  0.1507  0.6480
O  0.2894  0.8493  0.1480
O  0.4103  0.2642  0.0944
O  0.4103  0.7358  0.5944
O  0.5897  0.2642  0.4056
O  0.5897  0.7358  0.9056
O  0.7106  0.1507  0.8520
O  0.7106  0.8493  0.3520
O  0.7894  0.3493  0.3520
O  0.7894  0.6507  0.8520
O  0.9103  0.2358  0.9056
O  0.9103  0.7642  0.4056

---

Run ii
A plane-wave DFT calculation with GGA-PBEsol was carried out for a geometry-optimized SrB2O4 structure.

Output
space group	Pa-3, No. 205
magnetic moment	0.002	μB/cell

a b c (Å): 9.2177 9.2177 9.2177
angles (deg): 90.00 90.00 90.00
Fractional positions:
Sr  0.0000  0.0000  0.0000
Sr  0.0000  0.5000  0.5000
Sr  0.1293  0.6293  0.8707
Sr  0.1293  0.8707  0.3707
Sr  0.3707  0.1293  0.8707
Sr  0.3707  0.3707  0.3707
Sr  0.5000  0.0000  0.5000
Sr  0.5000  0.5000  0.0000
Sr  0.6293  0.6293  0.6293
Sr  0.6293  0.8707  0.1293
Sr  0.8707  0.1293  0.6293
Sr  0.8707  0.3707  0.1293
B  0.1136  0.1879  0.3391
B  0.1136  0.3121  0.8391
B  0.1609  0.6136  0.1879
B  0.1609  0.8864  0.6879
B  0.1879  0.1609  0.6136
B  0.1879  0.3391  0.1136
B  0.3121  0.6609  0.6136
B  0.3121  0.8391  0.1136
B  0.3391  0.1136  0.1879
B  0.3391  0.3864  0.6879
B  0.3864  0.6879  0.3391
B  0.3864  0.8121  0.8391
B  0.6136  0.1879  0.1609
B  0.6136  0.3121  0.6609
B  0.6609  0.6136  0.3121
B  0.6609  0.8864  0.8121
B  0.6879  0.1609  0.8864
B  0.6879  0.3391  0.3864
B  0.8121  0.6609  0.8864
B  0.8121  0.8391  0.3864
B  0.8391  0.1136  0.3121
B  0.8391  0.3864  0.8121
B  0.8864  0.6879  0.1609
B  0.8864  0.8121  0.6609
O  0.0031  0.5926  0.2191
O  0.0031  0.9074  0.7191
O  0.0926  0.2191  0.4969
O  0.0926  0.2809  0.9969
O  0.1157  0.1745  0.7586
O  0.1157  0.3255  0.2586
O  0.1745  0.7414  0.6157
O  0.1745  0.7586  0.1157
O  0.2191  0.0031  0.5926
O  0.2191  0.4969  0.0926
O  0.2414  0.6157  0.3255
O  0.2414  0.8843  0.8255
O  0.2586  0.1157  0.3255
O  0.2586  0.3843  0.8255
O  0.2809  0.5031  0.5926
O  0.2809  0.9969  0.0926
O  0.3255  0.2414  0.6157
O  0.3255  0.2586  0.1157
O  0.3843  0.6745  0.7586
O  0.3843  0.8255  0.2586
O  0.4074  0.7191  0.4969
O  0.4074  0.7809  0.9969
O  0.4969  0.0926  0.2191
O  0.4969  0.4074  0.7191
O  0.5031  0.5926  0.2809
O  0.5031  0.9074  0.7809
O  0.5926  0.2191  0.0031
O  0.5926  0.2809  0.5031
O  0.6157  0.1745  0.7414
O  0.6157  0.3255  0.2414
O  0.6745  0.7414  0.8843
O  0.6745  0.7586  0.3843
O  0.7191  0.0031  0.9074
O  0.7191  0.4969  0.4074
O  0.7414  0.6157  0.1745
O  0.7414  0.8843  0.6745
O  0.7586  0.1157  0.1745
O  0.7586  0.3843  0.6745
O  0.7809  0.5031  0.9074
O  0.7809  0.9969  0.4074
O  0.8255  0.2414  0.8843
O  0.8255  0.2586  0.3843
O  0.8843  0.6745  0.7414
O  0.8843  0.8255  0.2414
O  0.9074  0.7191  0.0031
O  0.9074  0.7809  0.5031
O  0.9969  0.0926  0.2809
O  0.9969  0.4074  0.7809

---

Which one sits at the top of the stability order? run ii does.